<1>
Density functional theory data (PBE-GGA) for a relaxed structure of LaTe2H.

Output
Theoretical density = 5.9 g/cm3
Volume = 27.86 A^3/atom
Total magnetization = 0.2424 μB/atom

The structure in POSCAR format:
```
LaTe2H
1.0
7.639 0.000 0.000
0.000 7.639 0.000
0.000 0.000 7.639
La Te H
4 8 4
Direct
0.000 0.000 0.000
0.000 0.500 0.500
0.500 0.000 0.500
0.500 0.500 0.000
0.250 0.250 0.250
0.250 0.250 0.750
0.250 0.750 0.250
0.250 0.750 0.750
0.750 0.250 0.250
0.750 0.250 0.750
0.750 0.750 0.250
0.750 0.750 0.750
0.000 0.000 0.500
0.000 0.500 0.000
0.500 0.000 0.000
0.500 0.500 0.500
```

<2>
Density functional theory data (PBE-GGA) for a relaxed structure of LaTe2H.

Output
Theoretical density = 6.5 g/cm3
Volume = 25.25 A^3/atom
Total magnetization = 0.0000 μB/atom

The structure in POSCAR format:
```
LaTe2H
1.0
7.323 0.000 0.000
0.000 7.323 0.000
0.000 0.000 7.532
La Te H
4 8 4
Direct
0.000 0.000 0.000
0.000 0.500 0.250
0.500 0.000 0.750
0.500 0.500 0.500
0.162 0.250 0.625
0.250 0.662 0.875
0.250 0.838 0.375
0.338 0.250 0.125
0.662 0.750 0.125
0.750 0.162 0.375
0.750 0.338 0.875
0.838 0.750 0.625
0.000 0.000 0.500
0.000 0.500 0.750
0.500 0.000 0.250
0.500 0.500 0.000
```

It is <1> that is the least stable of them.

<1>
Density functional theory data (PBE-GGA) for a relaxed structure of LaTe3H.

Output
Theoretical density = 3.6 g/cm3
Volume = 48.20 A^3/atom
Total magnetization = 0.5409 μB/atom

The structure in POSCAR format:
```
LaTe3H
1.0
6.223 0.000 0.000
0.000 6.223 0.000
0.000 0.000 6.223
La Te H
1 3 1
Direct
0.000 0.000 0.000
0.000 0.000 0.500
0.000 0.500 0.000
0.500 0.000 0.000
0.500 0.500 0.500
```

<2>
Density functional theory data (PBE-GGA) for a relaxed structure of LaTe3H.

Output
Theoretical density = 7.1 g/cm3
Volume = 24.35 A^3/atom
Total magnetization = 0.0000 μB/atom

The structure in POSCAR format:
```
LaTe3H
1.0
4.956 0.000 0.000
0.000 4.956 0.000
0.000 0.000 4.956
La Te H
1 3 1
Direct
0.000 0.000 0.000
0.000 0.500 0.500
0.500 0.000 0.500
0.500 0.500 0.000
0.500 0.500 0.500
```

It is <1> that is the least stable of them.

<1>
Density functional theory data (PBE-GGA) for a relaxed structure of La2ThH.

Output
Theoretical density = 8.0 g/cm3
Volume = 26.37 A^3/atom
Total magnetization = 0.0000 μB/atom

The structure in POSCAR format:
```
La2ThH
1.0
3.715 0.000 0.000
-1.857 3.217 0.000
0.000 0.000 26.485
La Th H
6 3 3
Direct
0.000 0.000 0.226
0.000 0.000 0.774
0.333 0.667 0.441
0.333 0.667 0.893
0.667 0.333 0.107
0.667 0.333 0.559
0.000 0.000 0.000
0.333 0.667 0.667
0.667 0.333 0.333
0.000 0.000 0.500
0.333 0.667 0.167
0.667 0.333 0.833
```

<2>
Density functional theory data (PBE-GGA) for a relaxed structure of La2ThH.

Output
Theoretical density = 8.0 g/cm3
Volume = 26.36 A^3/atom
Total magnetization = 0.0000 μB/atom

The structure in POSCAR format:
```
La2ThH
1.0
6.376 0.000 0.000
0.000 3.683 0.000
-2.111 0.000 8.979
La Th H
4 2 2
Direct
0.000 0.000 0.000
0.217 0.000 0.653
0.500 0.500 0.000
0.717 0.500 0.653
0.441 0.000 0.326
0.941 0.500 0.326
0.106 0.500 0.824
0.606 0.000 0.824
```

<3>
Density functional theory data (PBE-GGA) for a relaxed structure of La2ThH.

Output
Theoretical density = 8.3 g/cm3
Volume = 25.41 A^3/atom
Total magnetization = 0.0000 μB/atom

The structure in POSCAR format:
```
La2ThH
1.0
3.428 0.000 0.000
0.000 3.428 0.000
0.000 0.000 8.652
La Th H
2 1 1
Direct
0.000 0.000 0.193
0.000 0.000 0.807
0.500 0.500 0.500
0.500 0.500 0.000
```

It is <3> that is the least stable of them.

<1>
Density functional theory data (PBE-GGA) for a relaxed structure of LaThH.

Output
Theoretical density = 8.6 g/cm3
Volume = 23.83 A^3/atom
Total magnetization = 0.0002 μB/atom

The structure in POSCAR format:
```
LaThH
1.0
6.415 0.000 0.000
0.000 3.700 0.000
-2.163 0.000 12.046
La Th H
4 4 4
Direct
0.000 0.000 0.000
0.076 0.500 0.735
0.500 0.500 0.000
0.576 0.000 0.735
0.326 0.500 0.483
0.411 0.000 0.249
0.826 0.000 0.483
0.911 0.500 0.249
0.291 0.000 0.877
0.431 0.500 0.800
0.791 0.500 0.877
0.931 0.000 0.800
```

<2>
Density functional theory data (PBE-GGA) for a relaxed structure of LaThH.

Output
Theoretical density = 8.7 g/cm3
Volume = 23.60 A^3/atom
Total magnetization = 0.0000 μB/atom

The structure in POSCAR format:
```
LaThH
1.0
3.671 0.000 0.000
-1.835 3.179 0.000
0.000 0.000 6.067
La Th H
1 1 1
Direct
0.000 0.000 0.000
0.667 0.333 0.502
0.333 0.667 0.733
```

It is <2> that is the least stable of them.

<1>
Density functional theory data (PBE-GGA) for a relaxed structure of LaThH2.

Output
Theoretical density = 8.8 g/cm3
Volume = 17.57 A^3/atom
Total magnetization = 0.0000 μB/atom

The structure in POSCAR format:
```
LaThH2
1.0
3.671 0.000 0.000
-1.836 3.180 0.000
0.000 0.000 18.060
La Th H
3 3 6
Direct
0.000 0.000 0.000
0.333 0.667 0.667
0.667 0.333 0.333
0.000 0.000 0.500
0.333 0.667 0.167
0.667 0.333 0.833
0.000 0.000 0.245
0.000 0.000 0.755
0.333 0.667 0.422
0.333 0.667 0.912
0.667 0.333 0.088
0.667 0.333 0.578
```

<2>
Density functional theory data (PBE-GGA) for a relaxed structure of LaThH2.

Output
Theoretical density = 8.8 g/cm3
Volume = 17.55 A^3/atom
Total magnetization = 0.0000 μB/atom

The structure in POSCAR format:
```
LaThH2
1.0
3.543 0.000 0.000
-1.771 3.068 0.000
0.000 0.000 19.375
La Th H
3 3 6
Direct
0.000 0.000 0.000
0.333 0.667 0.667
0.667 0.333 0.333
0.000 0.000 0.172
0.333 0.667 0.839
0.667 0.333 0.505
0.000 0.000 0.420
0.000 0.000 0.585
0.333 0.667 0.087
0.333 0.667 0.252
0.667 0.333 0.753
0.667 0.333 0.918
```

It is <2> that is the least stable of them.

<1>
Density functional theory data (PBE-GGA) for a relaxed structure of LaTi2H.

Output
Theoretical density = 5.2 g/cm3
Volume = 18.89 A^3/atom
Total magnetization = 0.5004 μB/atom

The structure in POSCAR format:
```
LaTi2H
1.0
5.973 0.000 0.000
0.000 5.973 0.000
0.000 0.000 8.470
La Ti H
4 8 4
Direct
0.000 0.250 0.375
0.000 0.750 0.625
0.500 0.250 0.125
0.500 0.750 0.875
0.000 0.000 0.000
0.000 0.500 0.000
0.250 0.250 0.750
0.250 0.750 0.250
0.500 0.000 0.500
0.500 0.500 0.500
0.750 0.250 0.750
0.750 0.750 0.250
0.000 0.250 0.875
0.000 0.750 0.125
0.500 0.250 0.625
0.500 0.750 0.375
```

<2>
Density functional theory data (PBE-GGA) for a relaxed structure of LaTi2H.

Output
Theoretical density = 5.8 g/cm3
Volume = 16.97 A^3/atom
Total magnetization = 0.0000 μB/atom

The structure in POSCAR format:
```
LaTi2H
1.0
6.475 0.000 0.000
0.000 6.475 0.000
0.000 0.000 6.475
La Ti H
4 8 4
Direct
0.000 0.000 0.000
0.000 0.500 0.500
0.500 0.000 0.500
0.500 0.500 0.000
0.250 0.250 0.250
0.250 0.250 0.750
0.250 0.750 0.250
0.250 0.750 0.750
0.750 0.250 0.250
0.750 0.250 0.750
0.750 0.750 0.250
0.750 0.750 0.750
0.000 0.000 0.500
0.000 0.500 0.000
0.500 0.000 0.000
0.500 0.500 0.500
```

<3>
Density functional theory data (PBE-GGA) for a relaxed structure of LaTi2H.

Output
Theoretical density = 5.9 g/cm3
Volume = 16.45 A^3/atom
Total magnetization = 0.0001 μB/atom

The structure in POSCAR format:
```
LaTi2H
1.0
3.063 0.000 0.000
-1.531 2.652 0.000
0.000 0.000 24.308
La Ti H
3 6 3
Direct
0.000 0.000 0.000
0.333 0.667 0.667
0.667 0.333 0.333
0.000 0.000 0.120
0.000 0.000 0.880
0.333 0.667 0.546
0.333 0.667 0.787
0.667 0.333 0.213
0.667 0.333 0.454
0.000 0.000 0.500
0.333 0.667 0.167
0.667 0.333 0.833
```

It is <2> that is the least stable of them.

<1>
Density functional theory data (PBE-GGA) for a relaxed structure of LaTi3H.

Output
Theoretical density = 5.7 g/cm3
Volume = 16.63 A^3/atom
Total magnetization = 0.0000 μB/atom

The structure in POSCAR format:
```
LaTi3H
1.0
4.365 0.000 0.000
0.000 4.365 0.000
0.000 0.000 4.365
La Ti H
1 3 1
Direct
0.000 0.000 0.000
0.000 0.500 0.500
0.500 0.000 0.500
0.500 0.500 0.000
0.500 0.500 0.500
```

<2>
Density functional theory data (PBE-GGA) for a relaxed structure of LaTi3H.

Output
Theoretical density = 4.2 g/cm3
Volume = 22.34 A^3/atom
Total magnetization = 0.1481 μB/atom

The structure in POSCAR format:
```
LaTi3H
1.0
4.816 0.000 0.000
0.000 4.816 0.000
0.000 0.000 4.816
La Ti H
1 3 1
Direct
0.000 0.000 0.000
0.000 0.000 0.500
0.000 0.500 0.000
0.500 0.000 0.000
0.500 0.500 0.500
```

It is <2> that is the least stable of them.

<1>
Density functional theory data (PBE-GGA) for a relaxed structure of LaTiH2.

Output
Theoretical density = 5.8 g/cm3
Volume = 13.62 A^3/atom
Total magnetization = 0.0000 μB/atom

The structure in POSCAR format:
```
LaTiH2
1.0
5.650 0.000 0.000
0.000 5.650 0.000
0.000 0.000 6.828
La Ti H
4 4 8
Direct
0.000 0.000 0.000
0.000 0.500 0.250
0.500 0.000 0.750
0.500 0.500 0.500
0.000 0.000 0.500
0.000 0.500 0.750
0.500 0.000 0.250
0.500 0.500 0.000
0.171 0.250 0.625
0.250 0.671 0.875
0.250 0.829 0.375
0.329 0.250 0.125
0.671 0.750 0.125
0.750 0.171 0.375
0.750 0.329 0.875
0.829 0.750 0.625
```

<2>
Density functional theory data (PBE-GGA) for a relaxed structure of LaTiH2.

Output
Theoretical density = 5.6 g/cm3
Volume = 13.96 A^3/atom
Total magnetization = 0.5086 μB/atom

The structure in POSCAR format:
```
LaTiH2
1.0
6.067 0.000 0.000
0.000 6.067 0.000
0.000 0.000 6.067
La Ti H
4 4 8
Direct
0.000 0.000 0.000
0.000 0.500 0.500
0.500 0.000 0.500
0.500 0.500 0.000
0.000 0.000 0.500
0.000 0.500 0.000
0.500 0.000 0.000
0.500 0.500 0.500
0.250 0.250 0.250
0.250 0.250 0.750
0.250 0.750 0.250
0.250 0.750 0.750
0.750 0.250 0.250
0.750 0.250 0.750
0.750 0.750 0.250
0.750 0.750 0.750
```

It is <2> that is the least stable of them.

<1>
Density functional theory data (PBE-GGA) for a relaxed structure of LaTiH3.

Output
Theoretical density = 3.9 g/cm3
Volume = 16.30 A^3/atom
Total magnetization = 0.5467 μB/atom

The structure in POSCAR format:
```
LaTiH3
1.0
4.336 0.000 0.000
0.000 4.336 0.000
0.000 0.000 4.336
La Ti H
1 1 3
Direct
0.000 0.000 0.000
0.500 0.500 0.500
0.000 0.000 0.500
0.000 0.500 0.000
0.500 0.000 0.000
```

<2>
Density functional theory data (PBE-GGA) for a relaxed structure of LaTiH3.

Output
Theoretical density = 5.4 g/cm3
Volume = 11.71 A^3/atom
Total magnetization = 0.3739 μB/atom

The structure in POSCAR format:
```
LaTiH3
1.0
3.883 0.000 0.000
0.000 3.883 0.000
0.000 0.000 3.883
La Ti H
1 1 3
Direct
0.000 0.000 0.000
0.500 0.500 0.500
0.000 0.500 0.500
0.500 0.000 0.500
0.500 0.500 0.000
```

It is <1> that is the least stable of them.

<1>
Density functional theory data (PBE-GGA) for a relaxed structure of La2TiTlH.

Output
Theoretical density = 7.4 g/cm3
Volume = 23.93 A^3/atom
Total magnetization = 0.6777 μB/atom

The structure in POSCAR format:
```
La2TiTlH
1.0
5.375 0.000 0.000
0.000 5.375 0.000
0.000 0.000 4.143
La Ti Tl H
2 1 1 1
Direct
0.000 0.500 0.000
0.500 0.000 0.000
0.000 0.000 0.500
0.500 0.500 0.500
0.000 0.000 0.000
```

<2>
Density functional theory data (PBE-GGA) for a relaxed structure of La2TiTlH.

Output
Theoretical density = 6.2 g/cm3
Volume = 28.49 A^3/atom
Total magnetization = 0.0035 μB/atom

The structure in POSCAR format:
```
La2TiTlH
1.0
6.187 0.000 0.000
0.000 6.187 0.000
0.000 0.000 3.722
La Ti Tl H
2 1 1 1
Direct
0.000 0.500 0.000
0.500 0.000 0.000
0.000 0.000 0.500
0.500 0.500 0.000
0.500 0.500 0.500
```

It is <2> that is the least stable of them.

<1>
Density functional theory data (PBE-GGA) for a relaxed structure of La2TlH.

Output
Theoretical density = 8.3 g/cm3
Volume = 24.25 A^3/atom
Total magnetization = 0.0245 μB/atom

The structure in POSCAR format:
```
La2TlH
1.0
3.533 0.000 0.000
0.000 3.533 0.000
0.000 0.000 7.773
La Tl H
2 1 1
Direct
0.000 0.000 0.207
0.000 0.000 0.793
0.500 0.500 0.500
0.500 0.500 0.000
```

<2>
Density functional theory data (PBE-GGA) for a relaxed structure of La2TlH.

Output
Theoretical density = 8.1 g/cm3
Volume = 24.64 A^3/atom
Total magnetization = 0.0000 μB/atom

The structure in POSCAR format:
```
La2TlH
1.0
5.062 0.000 0.000
0.000 4.505 0.000
-2.511 0.000 8.644
La Tl H
4 2 2
Direct
0.000 0.000 0.000
0.190 0.500 0.381
0.500 0.500 0.000
0.810 0.500 0.619
0.352 0.000 0.704
0.648 0.000 0.296
0.056 0.500 0.113
0.944 0.500 0.887
```

It is <1> that is the least stable of them.

<1>
Density functional theory data (PBE-GGA) for a relaxed structure of La2TlH.

Output
Theoretical density = 7.8 g/cm3
Volume = 25.71 A^3/atom
Total magnetization = 0.0003 μB/atom

The structure in POSCAR format:
```
La2TlH
1.0
3.781 0.000 0.000
-1.890 3.274 0.000
0.000 0.000 24.919
La Tl H
6 3 3
Direct
0.000 0.000 0.000
0.000 0.000 0.215
0.333 0.667 0.667
0.333 0.667 0.882
0.667 0.333 0.333
0.667 0.333 0.548
0.000 0.000 0.774
0.333 0.667 0.441
0.667 0.333 0.108
0.000 0.000 0.609
0.333 0.667 0.276
0.667 0.333 0.942
```

<2>
Density functional theory data (PBE-GGA) for a relaxed structure of La2TlH.

Output
Theoretical density = 7.9 g/cm3
Volume = 25.26 A^3/atom
Total magnetization = 0.0000 μB/atom

The structure in POSCAR format:
```
La2TlH
1.0
7.591 0.000 0.000
0.000 4.982 0.000
0.000 0.000 10.686
La Tl H
8 4 4
Direct
0.078 0.250 0.181
0.130 0.250 0.567
0.370 0.750 0.067
0.422 0.750 0.681
0.578 0.250 0.319
0.630 0.250 0.933
0.870 0.750 0.433
0.922 0.750 0.819
0.200 0.250 0.870
0.300 0.750 0.370
0.700 0.250 0.630
0.800 0.750 0.130
0.096 0.750 0.623
0.404 0.250 0.123
0.596 0.750 0.877
0.904 0.250 0.377
```

<3>
Density functional theory data (PBE-GGA) for a relaxed structure of La2TlH.

Output
Theoretical density = 7.4 g/cm3
Volume = 27.23 A^3/atom
Total magnetization = 0.0000 μB/atom

The structure in POSCAR format:
```
La2TlH
1.0
7.581 0.000 0.000
0.000 7.581 0.000
0.000 0.000 7.581
La Tl H
8 4 4
Direct
0.250 0.250 0.250
0.250 0.250 0.750
0.250 0.750 0.250
0.250 0.750 0.750
0.750 0.250 0.250
0.750 0.250 0.750
0.750 0.750 0.250
0.750 0.750 0.750
0.000 0.000 0.000
0.000 0.500 0.500
0.500 0.000 0.500
0.500 0.500 0.000
0.000 0.000 0.500
0.000 0.500 0.000
0.500 0.000 0.000
0.500 0.500 0.500
```

It is <3> that is the least stable of them.